The following is a DFT calculation (GGA-PBE) of MnOs2I after structural relaxation.

Computed properties:
* distance to the lowest polymorph of the same formula: 0.228 eV/atom

Geometry as CIF:
```
data_MnOs2I
_chemical_formula_sum 'Mn2 Os4 I2'
_cell_length_a 5.709
_cell_length_b 5.709
_cell_length_c 6.702
_cell_angle_alpha 64.79
_cell_angle_beta 64.79
_cell_angle_gamma 90.00
_space_group_name_H-M_alt 'P 1'
_space_group_IT_number 1
loop_
_space_group_symop_operation_xyz
'x,y,z'
loop_
_atom_site_label
_atom_site_type_symbol
_atom_site_fract_x
_atom_site_fract_y
_atom_site_fract_z
I1 I 0.000 0.000 0.000
I2 I 0.750 0.250 0.500
Mn1 Mn 0.500 0.500 0.000
Mn2 Mn 0.250 0.750 0.500
Os1 Os 0.573 0.125 0.250
Os2 Os 0.177 0.625 0.250
Os3 Os 0.375 0.427 0.750
Os4 Os 0.875 0.823 0.750
```

=====

The following is a DFT calculation (GGA-PBE) of Mn3OsI after structural relaxation.

Geometry as CIF:
```
data_Mn3OsI
_chemical_formula_sum 'Mn3 Os1 I1'
_cell_length_a 4.853
_cell_length_b 4.853
_cell_length_c 4.853
_cell_angle_alpha 90.00
_cell_angle_beta 90.00
_cell_angle_gamma 90.00
_space_group_name_H-M_alt 'P 1'
_space_group_IT_number 1
loop_
_space_group_symop_operation_xyz
'x,y,z'
loop_
_atom_site_label
_atom_site_type_symbol
_atom_site_fract_x
_atom_site_fract_y
_atom_site_fract_z
I1 I 0.500 0.500 0.500
Mn1 Mn 0.000 0.500 0.000
Mn2 Mn 0.000 0.000 0.500
Mn3 Mn 0.500 0.000 0.000
Os1 Os 0.000 0.000 0.000
```

=====

Number 1: total DFT energy (no corrections) -55.13 eV/cell, formation energy without anion corrections 5.61 eV per formula unit. Number 2: total DFT energy (no corrections) -34.91 eV/cell, formation energy without anion corrections 5.37 eV per formula unit.